Below is an optimized crystal structure of TiCd2FeCo, with properties calculated at the PBE level.

Properties
total DFT energy (no corrections): -4.263 eV per atom
formation energy from the elements: 0.796 eV per atom

CIF file:
```
data_TiCd2FeCo
_cell_length_a 4.843
_cell_length_b 4.298
_cell_length_c 4.843
_cell_angle_alpha 90.00
_cell_angle_beta 90.00
_cell_angle_gamma 90.00
_space_group_name_H-M_alt 'P 1'
_space_group_IT_number 1
_space_group_name_Hall 'P 1'
loop_
_atom_site_label
_atom_site_fract_x
_atom_site_fract_y
_atom_site_fract_z
_atom_site_occupancy
Ti1 0.500 0.500 0.500 1
Co1 0.000 0.000 0.000 1
Fe1 0.000 0.500 0.000 1
Cd1 0.000 0.000 0.500 1
Cd2 0.500 0.000 0.000 1
```

=====

Below is an optimized crystal structure of Tb6Nd8Tm, with properties calculated at the PBE level.

Properties
total DFT energy (no corrections): -4.574 eV per atom
formation energy from the elements: 0.119 eV per atom

CIF file:
```
data_Tb6Nd8Tm
_cell_length_a 9.176
_cell_length_b 9.176
_cell_length_c 8.766
_cell_angle_alpha 58.44
_cell_angle_beta 58.44
_cell_angle_gamma 60.00
_space_group_name_H-M_alt 'P 1'
_space_group_IT_number 1
_space_group_name_Hall 'P 1'
loop_
_atom_site_label
_atom_site_fract_x
_atom_site_fract_y
_atom_site_fract_z
_atom_site_occupancy
Tb1 0.460 0.903 0.882 1
Tb2 0.097 0.245 0.118 1
Tb3 0.245 0.540 0.118 1
Tb4 0.755 0.460 0.882 1
Tb5 0.903 0.755 0.882 1
Tb6 0.540 0.097 0.118 1
Nd1 0.249 0.283 0.581 1
Nd2 0.717 0.112 0.419 1
Nd3 0.112 0.751 0.419 1
Nd4 0.578 0.578 0.266 1
Nd5 0.422 0.422 0.734 1
Nd6 0.888 0.249 0.581 1
Nd7 0.283 0.888 0.581 1
Nd8 0.751 0.717 0.419 1
Tm1 0.000 0.000 0.000 1
```

=====

Below is an optimized crystal structure of Hf2Zn3Cu2, with properties calculated at the PBE level.

Properties
total DFT energy (no corrections): -4.672 eV per atom
relative energy among the computed polymorphs: 0.0 kJ per mole of atoms
formation energy from the elements: -0.112 eV per atom

CIF file:
```
data_Hf2Zn3Cu2
_cell_length_a 4.162
_cell_length_b 5.223
_cell_length_c 5.909
_cell_angle_alpha 105.77
_cell_angle_beta 90.00
_cell_angle_gamma 113.48
_space_group_name_H-M_alt 'P 1'
_space_group_IT_number 1
_space_group_name_Hall 'P 1'
loop_
_atom_site_label
_atom_site_fract_x
_atom_site_fract_y
_atom_site_fract_z
_atom_site_occupancy
Hf1 0.617 0.234 0.353 1
Hf2 0.383 0.766 0.647 1
Zn1 0.288 0.577 0.131 1
Zn2 0.000 0.000 0.000 1
Zn3 0.712 0.423 0.869 1
Cu1 0.106 0.213 0.668 1
Cu2 0.894 0.787 0.332 1
```

=====

Below is an optimized crystal structure of Y2ScHg6, with properties calculated at the PBE level.

Properties
total DFT energy (no corrections): -2.679 eV per atom
formation energy from the elements: -0.338 eV per atom

CIF file:
```
data_Y2ScHg6
_cell_length_a 5.357
_cell_length_b 5.426
_cell_length_c 9.030
_cell_angle_alpha 72.52
_cell_angle_beta 81.52
_cell_angle_gamma 60.62
_space_group_name_H-M_alt 'P 1'
_space_group_IT_number 1
_space_group_name_Hall 'P 1'
loop_
_atom_site_label
_atom_site_fract_x
_atom_site_fract_y
_atom_site_fract_z
_atom_site_occupancy
Y1 0.500 0.831 0.837 1
Y2 0.500 0.169 0.163 1
Sc1 0.000 0.000 0.500 1
Hg1 0.166 0.829 0.176 1
Hg2 0.834 0.495 0.176 1
Hg3 0.834 0.171 0.824 1
Hg4 0.166 0.505 0.824 1
Hg5 0.334 0.333 0.500 1
Hg6 0.666 0.667 0.500 1
```

=====

Below is an optimized crystal structure of Rb3Mg2I7, with properties calculated at the PBE level.

Properties
total DFT energy (no corrections): -2.621 eV per atom
uncorrected formation energy: -1.2095 eV per atom

CIF file:
```
data_Rb3Mg2I7
_cell_length_a 5.827
_cell_length_b 5.930
_cell_length_c 15.513
_cell_angle_alpha 101.02
_cell_angle_beta 90.00
_cell_angle_gamma 90.00
_space_group_name_H-M_alt 'P 1'
_space_group_IT_number 1
_space_group_name_Hall 'P 1'
loop_
_atom_site_label
_atom_site_fract_x
_atom_site_fract_y
_atom_site_fract_z
_atom_site_occupancy
Rb1 0.500 0.500 0.000 1
Rb2 0.500 0.674 0.349 1
Rb3 0.500 0.326 0.651 1
Mg1 0.000 0.900 0.800 1
Mg2 0.000 0.100 0.200 1
I1 0.000 0.407 0.813 1
I2 0.000 0.807 0.614 1
I3 0.000 0.000 0.000 1
I4 0.000 0.593 0.187 1
I5 0.500 0.094 0.188 1
I6 0.500 0.906 0.812 1
I7 0.000 0.193 0.386 1
```

=====

Below is an optimized crystal structure of BaY2Be, with properties calculated at the PBE level.

Properties
total DFT energy (no corrections): -4.343 eV per atom
formation energy from the elements: 0.301 eV per atom

CIF file:
```
data_BaY2Be
_cell_length_a 10.725
_cell_length_b 10.725
_cell_length_c 10.725
_cell_angle_alpha 20.45
_cell_angle_beta 20.45
_cell_angle_gamma 20.45
_space_group_name_H-M_alt 'P 1'
_space_group_IT_number 1
_space_group_name_Hall 'P 1'
loop_
_atom_site_label
_atom_site_fract_x
_atom_site_fract_y
_atom_site_fract_z
_atom_site_occupancy
Y1 0.027 0.027 0.027 1
Y2 0.473 0.473 0.473 1
Be1 0.750 0.750 0.750 1
Ba1 0.250 0.250 0.250 1
```

=====

Below is an optimized crystal structure of Ta2SbAs, with properties calculated at the PBE level.

Properties
total DFT energy (no corrections): -7.741 eV per atom
uncorrected formation energy: 0.3788 eV per atom

CIF file:
```
data_Ta2SbAs
_cell_length_a 4.122
_cell_length_b 4.122
_cell_length_c 10.065
_cell_angle_alpha 78.18
_cell_angle_beta 78.18
_cell_angle_gamma 90.00
_space_group_name_H-M_alt 'P 1'
_space_group_IT_number 1
_space_group_name_Hall 'P 1'
loop_
_atom_site_label
_atom_site_fract_x
_atom_site_fract_y
_atom_site_fract_z
_atom_site_occupancy
Sb1 0.000 0.000 0.000 1
Sb2 0.750 0.250 0.500 1
As1 0.500 0.500 0.000 1
As2 0.250 0.750 0.500 1
Ta1 0.617 0.125 0.250 1
Ta2 0.133 0.625 0.250 1
Ta3 0.375 0.383 0.750 1
Ta4 0.875 0.867 0.750 1
```

=====

Below is an optimized crystal structure of Th5CoSb4, with properties calculated at the PBE level.

Properties
total DFT energy (no corrections): -6.803 eV per atom
uncorrected formation energy: -0.7334 eV per atom

CIF file:
```
data_Th5CoSb4
_cell_length_a 6.325
_cell_length_b 7.630
_cell_length_c 7.630
_cell_angle_alpha 80.11
_cell_angle_beta 65.51
_cell_angle_gamma 65.51
_space_group_name_H-M_alt 'P 1'
_space_group_IT_number 1
_space_group_name_Hall 'P 1'
loop_
_atom_site_label
_atom_site_fract_x
_atom_site_fract_y
_atom_site_fract_z
_atom_site_occupancy
Th1 0.906 0.359 0.832 1
Th2 0.265 0.832 0.641 1
Th3 0.737 0.168 0.359 1
Th4 0.097 0.641 0.168 1
Th5 0.501 0.000 0.000 1
Co1 0.001 0.000 0.000 1
Sb1 0.417 0.394 0.773 1
Sb2 0.812 0.773 0.606 1
Sb3 0.190 0.227 0.394 1
Sb4 0.585 0.606 0.227 1
```